# 1
The following is a PBE calculation of a relaxed structure of AcCdIn2Ag4, from Alexandria via LeMat-Bulk.

Lattice parameters (Å, degrees): 4.7822 4.7822 28.4547 90.00 90.00 120.00
With the nearest neighbours (Å) after each atom.
Space group R-3m (No. 166, hexagonal axes)
One atom of each set of equivalent atoms:
Ac1 0.0000 0.0000 0.0000 [3 per cell]  6 Ag 3.35, 6 In 3.73
Cd1 0.0000 0.0000 0.5000 [3 per cell]  8 Ag 2.85-2.90
In1 0.0000 0.0000 0.2454 [6 per cell]  7 Ag 2.83-3.13
Ag1 0.0000 0.0000 0.1353 [6 per cell]  3 Cd 2.90, 4 In 3.07-3.13
Ag2 0.0000 0.0000 0.3999 [6 per cell]  3 In 2.83, 1 Cd 2.85

Properties
Calculated volume   23.5 Å³/atom
Fermi-level density of states   0.56 states/eV/atom
Formation energy   -15.6 kJ/mol of atoms
Electronic total energy   -2.90 eV per atom



# 2
The following is a PBE calculation of a relaxed structure of Ac2CdAgIr, from Alexandria via LeMat-Bulk.

Lattice parameters (Å, degrees): 8.0176 4.4225 9.2684 90.00 104.92 90.00
With the nearest neighbours (Å) after each atom.
Space group P2_1/m (No. 11)
One atom of each set of equivalent atoms:
Ac1 0.1794 0.2500 0.3861 [2 per cell]  2 Ir 2.91
Ac2 0.2189 0.2500 0.9743 [2 per cell]  3 Ir 2.97-3.03
Cd1 0.2800 0.7500 0.6910 [2 per cell]  2 Ag 2.79
Ag1 0.5003 0.2500 0.7306 [2 per cell]  1 Ir 2.67, 2 Cd 2.79
Ir1 0.1552 0.7500 0.1772 [2 per cell]  1 Ag 2.67, 3 Ac 2.91-2.97

Properties
Calculated volume   31.8 Å³/atom
Fermi-level density of states   0.52 states/eV/atom
Formation energy   -32.2 kJ/mol of atoms
Electronic total energy   -4.50 eV per atom